The following is a DFT calculation (PBE) of a relaxed TaSb2H2 crystal.

Cell lengths 5.114, 5.114, 6.224 Å; angles 90.00, 90.00, 90.00 degrees
Atoms (fractional coordinates):
Ta (0.000, 0.000, 0.000)
Ta (0.500, 0.500, 0.500)
Sb (0.000, 0.500, 0.250)
Sb (0.000, 0.500, 0.750)
Sb (0.500, 0.000, 0.250)
Sb (0.500, 0.000, 0.750)
H (0.000, 0.000, 0.436)
H (0.000, 0.000, 0.564)
H (0.500, 0.500, 0.064)
H (0.500, 0.500, 0.936)

Excess energy over the best structure of this formula in the dataset ... 0.000 eV per formula unit
DOS at the Fermi energy ... 3.02 states/eV/f.u.
Theoretical density ... 8702 kg/m³

---

The following is a DFT calculation (PBE) of a relaxed TaSb2H crystal.

Cell lengths 6.542, 6.542, 6.660 Å; angles 90.00, 90.00, 90.00 degrees
Atoms (fractional coordinates):
Ta (0.000, 0.000, 0.000)
Ta (0.000, 0.500, 0.250)
Ta (0.500, 0.000, 0.750)
Ta (0.500, 0.500, 0.500)
Sb (0.166, 0.250, 0.625)
Sb (0.250, 0.666, 0.875)
Sb (0.250, 0.834, 0.375)
Sb (0.334, 0.250, 0.125)
Sb (0.666, 0.750, 0.125)
Sb (0.750, 0.166, 0.375)
Sb (0.750, 0.334, 0.875)
Sb (0.834, 0.750, 0.625)
H (0.000, 0.000, 0.500)
H (0.000, 0.500, 0.750)
H (0.500, 0.000, 0.250)
H (0.500, 0.500, 0.000)

Excess energy over the best structure of this formula in the dataset ... 0.000 eV per formula unit
DOS at the Fermi energy ... 2.54 states/eV/f.u.
Theoretical density ... 9915 kg/m³